# 1
A plane-wave DFT calculation with PBE was carried out for an optimized crystal structure of SnSb4Au3.

Results
D(E_F): 3.55 states/eV/cell
symmetry: No. 215
E_form (uncorrected): 0.020 eV/atom

The structure in POSCAR format:
```
SnSb4Au3
1.0
-4.435 -3.915 0.500
3.908 -4.461 -0.258
0.546 0.136 5.910
Sb Au Sn
4 3 1
Direct
0.311 0.311 0.311
0.689 0.689 0.311
0.311 0.689 0.689
0.689 0.311 0.689
0.000 0.500 0.000
0.000 0.000 0.500
0.500 0.000 0.000
0.000 0.000 0.000
```

# 2
A plane-wave DFT calculation with PBE was carried out for an optimized crystal structure of SnSbAu2.

Results
D(E_F): 1.24 states/eV/cell
symmetry: No. 160
E_form (uncorrected): -0.072 eV/atom

The structure in POSCAR format:
```
SnSbAu2
1.0
-3.342 1.619 2.109
-1.819 -2.231 3.154
2.115 2.418 5.821
Sn Sb Au
1 1 2
Direct
0.496 0.496 0.511
0.671 0.671 0.988
0.084 0.084 0.748
0.249 0.249 0.253
```

# 3
A plane-wave DFT calculation with PBE was carried out for an optimized crystal structure of SnSbAu3.

Results
relative energy among the computed polymorphs: 13 meV/atom
D(E_F): 7.25 states/eV/cell
symmetry: No. 15
E_form (uncorrected): -0.036 eV/atom

The structure in POSCAR format:
```
SnSbAu3
1.0
-4.004 6.649 1.380
-5.087 -5.954 0.900
1.863 -0.442 7.410
Sn Sb Au
4 4 12
Direct
0.018 0.982 0.250
0.982 0.018 0.750
0.656 0.344 0.250
0.344 0.656 0.750
0.821 0.499 0.802
0.501 0.179 0.698
0.179 0.501 0.198
0.499 0.821 0.302
0.100 0.771 0.962
0.229 0.900 0.538
0.900 0.229 0.038
0.771 0.100 0.462
0.059 0.375 0.602
0.625 0.941 0.898
0.941 0.625 0.398
0.375 0.059 0.102
0.717 0.681 0.093
0.319 0.283 0.407
0.283 0.319 0.907
0.681 0.717 0.593
```

# 4
A plane-wave DFT calculation with PBE was carried out for an optimized crystal structure of SnSb6Au8.

Results
D(E_F): 5.37 states/eV/cell
symmetry: No. 2
E_form (uncorrected): -0.008 eV/atom

The structure in POSCAR format:
```
SnSb6Au8
1.0
0.165 -3.561 2.619
-5.028 -4.451 -6.178
9.422 -4.111 -0.395
Sn Sb Au
1 6 8
Direct
0.500 0.000 0.000
0.504 0.663 0.070
0.737 0.914 0.582
0.650 0.489 0.347
0.496 0.337 0.930
0.263 0.086 0.418
0.350 0.511 0.653
0.882 0.023 0.214
0.787 0.693 0.732
0.895 0.254 0.055
0.118 0.977 0.786
0.213 0.307 0.268
0.105 0.746 0.945
0.429 0.218 0.662
0.571 0.782 0.338
```

# 5
A plane-wave DFT calculation with PBE was carried out for an optimized crystal structure of SnSbAu2.

Results
D(E_F): 1.74 states/eV/cell
symmetry: No. 123
E_form (uncorrected): 0.042 eV/atom

The structure in POSCAR format:
```
SnSbAu2
1.0
-2.088 -3.101 -0.894
1.588 0.245 -4.557
3.734 -2.845 1.148
Sb Au Sn
1 2 1
Direct
0.500 0.500 0.500
0.000 0.000 0.500
0.000 0.500 0.000
0.500 0.000 0.000
```

# 6
A plane-wave DFT calculation with PBE was carried out for an optimized crystal structure of Sn3SbAu.

Results
relative energy among the computed polymorphs: 303 meV/atom
D(E_F): 3.56 states/eV/cell
symmetry: No. 221
E_form (uncorrected): 0.295 eV/atom

The structure in POSCAR format:
```
Sn3SbAu
1.0
5.381 0.000 0.000
0.000 5.381 0.000
0.000 0.000 5.381
Sb Au Sn
1 1 3
Direct
0.500 0.500 0.500
0.000 0.000 0.000
0.000 0.500 0.000
0.000 0.000 0.500
0.500 0.000 0.000
```